1.
A geometry-optimized TlNiAs2Os structure, computed with GGA-PBEsol.

Results
- formation enthalpy at 0 K (kJ per mole of atoms) = 108
- V (Å³ per cell) = 93.5
- DOS(E_F) (states/eV/atom) = 0.85

Cell: 4.3558 4.3558 4.9289 Å, 90.00 90.00 90.00°
Last column: nearest neighbours and their distance in Å.
Space group P4/mmm (No. 123)
Inequivalent atoms, fractional coordinates:
Tl (0.0000, 0.0000, 0.0000) (multiplicity 1)  2 Ni 2.46
Ni (0.0000, 0.0000, 0.5000) (multiplicity 1)  4 As 2.18
As (0.0000, 0.5000, 0.5000) (multiplicity 2)  2 Ni 2.18
Os (0.5000, 0.5000, 0.0000) (multiplicity 1)  4 Tl 3.08, 8 As 3.29

2.
A geometry-optimized Ni2AsP structure, computed with GGA-PBEsol.

Results
- formation enthalpy at 0 K (kJ per mole of atoms) = -12
- V (Å³ per cell) = 49.9
- DOS(E_F) (states/eV/atom) = 0.45
- energy above the most stable polymorph in this dataset (meV/atom) = 0

Cell: 2.8125 2.8117 6.3159 Å, 90.00 90.07 90.00°
Last column: nearest neighbours and their distance in Å.
Space group P2/m (No. 10)
Inequivalent atoms, fractional coordinates:
Ni (0.0002, 0.0000, 0.2057) (multiplicity 2)  4 P 2.37-2.38, 1 Ni 2.60
As (0.5000, 0.5000, 0.5000) (multiplicity 1)  8 Ni 2.72, 4 As 2.81
P (0.5000, 0.5000, 0.0000) (multiplicity 1)  8 Ni 2.37-2.38

3.
A geometry-optimized Ni2AsP structure, computed with GGA-PBEsol.

Results
- formation enthalpy at 0 K (kJ per mole of atoms) = -6
- V (Å³ per cell) = 100.6
- DOS(E_F) (states/eV/atom) = 0.41
- energy above the most stable polymorph in this dataset (meV/atom) = 63

Cell: 3.8519 4.3233 6.0419 Å, 90.00 90.00 90.00°
Last column: nearest neighbours and their distance in Å.
Space group Immm (No. 71)
Inequivalent atoms, fractional coordinates:
Ni (0.0000, 0.0000, 0.2184) (multiplicity 4)  2 P 2.33, 4 As 2.53-2.57
As (0.0000, 0.5000, 0.0000) (multiplicity 2)  8 Ni 2.53-2.57
P (0.0000, 0.5000, 0.5000) (multiplicity 2)  4 Ni 2.33